Record 1
# Ac5CdIn2

An optimized crystal structure of Ac5CdIn2 (PBE, Alexandria).

Calculated values
ΔE_f	-0.270	eV per atom
SG	I4/mcm, No. 140
total moment	0.00	μB per atom
VASP energy	-29.093	eV/f.u.

POSCAR file:
```
Ac5CdIn2
1.0
-4.267 4.267 8.416
4.267 -4.267 8.416
4.267 4.267 -8.416
Ac Cd In
10 2 4
Direct
0.000 0.000 0.000 Ac
0.023 0.523 0.844 Ac
0.179 0.023 0.500 Ac
0.321 0.821 0.844 Ac
0.477 0.321 0.500 Ac
0.500 0.500 0.000 Ac
0.523 0.679 0.500 Ac
0.679 0.179 0.156 Ac
0.821 0.977 0.500 Ac
0.977 0.477 0.156 Ac
0.250 0.250 0.000 Cd
0.750 0.750 0.000 Cd
0.121 0.379 0.500 In
0.379 0.879 0.259 In
0.621 0.121 0.741 In
0.879 0.621 0.500 In
```

Record 2
# Mo2AsOs

An optimized crystal structure of Mo2AsOs (PBE, Alexandria).

Calculated values
ΔE_f	0.214	eV per atom
SG	Pmm2, No. 25
total moment	0.00	μB per atom
VASP energy	-36.686	eV/f.u.

POSCAR file:
```
Mo2AsOs
1.0
2.935 0.000 0.000
0.000 4.095 0.000
0.000 0.000 5.163
Mo As Os
2 1 1
Direct
0.000 0.000 0.000 Mo
0.500 0.500 0.289 Mo
0.500 0.500 0.781 As
0.000 0.000 0.504 Os
```

Record 3
# CaCd2Au9

An optimized crystal structure of CaCd2Au9 (PBE, Alexandria).

Calculated values
ΔE_f	-0.231	eV per atom
SG	R-3m, No. 166
total moment	0.00	μB per atom
VASP energy	-36.101	eV/f.u.

POSCAR file:
```
CaCd2Au9
1.0
2.801 1.617 9.197
-2.801 1.617 9.197
0.000 -3.234 9.197
Ca Cd Au
1 2 9
Direct
0.000 0.000 0.000 Ca
0.145 0.145 0.145 Cd
0.855 0.855 0.855 Cd
0.081 0.587 0.587 Au
0.333 0.333 0.333 Au
0.413 0.413 0.919 Au
0.413 0.919 0.413 Au
0.500 0.500 0.500 Au
0.587 0.081 0.587 Au
0.587 0.587 0.081 Au
0.667 0.667 0.667 Au
0.919 0.413 0.413 Au
```

Record 4
# Zr2TeSe

An optimized crystal structure of Zr2TeSe (PBE, Alexandria).

Calculated values
excess energy over the best structure of this formula in the dataset	0.979	eV per atom
SG	F-43m, No. 216
total moment	0.27	μB per atom
formation energy without anion corrections	-6	kJ/mol of atoms
VASP energy	-23.957	eV/f.u.

POSCAR file:
```
Zr2TeSe
1.0
0.000 3.551 3.551
3.551 0.000 3.551
3.551 3.551 0.000
Zr Te Se
2 1 1
Direct
0.000 0.000 0.000 Zr
0.250 0.250 0.250 Zr
0.750 0.750 0.750 Te
0.500 0.500 0.500 Se
```

Record 5
# FeSb2Te

An optimized crystal structure of FeSb2Te (PBE, Alexandria).

Calculated values
SG	P4/mmm, No. 123
total moment	0.81	μB per atom
formation energy without anion corrections	58	kJ/mol of atoms
VASP energy	-17.433	eV/f.u.

POSCAR file:
```
FeSb2Te
1.0
4.200 0.000 0.000
0.000 4.200 0.000
0.000 0.000 5.681
Fe Sb Te
1 2 1
Direct
0.000 0.000 0.000 Fe
0.000 0.500 0.500 Sb
0.500 0.000 0.500 Sb
0.500 0.500 0.000 Te
```

Record 6
# AcTiNO

An optimized crystal structure of AcTiNO (PBE, Alexandria).

Calculated values
SG	P6_3mc, No. 186
total moment	0.00	μB per atom
formation energy without anion corrections	-173	kJ/mol of atoms
VASP energy	-32.466	eV/f.u.

POSCAR file:
```
AcTiNO
1.0
3.486 0.000 0.000
-1.743 3.019 0.000
0.000 0.000 12.252
Ac Ti N O
2 2 2 2
Direct
0.333 0.667 0.000 Ac
0.667 0.333 0.500 Ac
0.000 0.000 0.283 Ti
0.000 0.000 0.783 Ti
0.333 0.667 0.341 N
0.667 0.333 0.841 N
0.000 0.000 0.132 O
0.000 0.000 0.632 O
```

Record 7
# RbBa2Ce3Se8

An optimized crystal structure of RbBa2Ce3Se8 (PBE, Alexandria).

Calculated values
SG	R3m, No. 160
total moment	0.08	μB per atom
formation energy without anion corrections	-165	kJ/mol of atoms
VASP energy	-74.491	eV/f.u.

POSCAR file:
```
RbBa2Ce3Se8
1.0
4.458 2.574 7.759
-4.458 2.574 7.759
0.000 -5.148 7.759
Rb Ba Ce Se
1 2 3 8
Direct
0.000 0.000 0.000 Rb
0.254 0.254 0.254 Ba
0.631 0.631 0.631 Ba
0.126 0.631 0.631 Ce
0.631 0.126 0.631 Ce
0.631 0.631 0.126 Ce
0.382 0.382 0.829 Se
0.382 0.829 0.382 Se
0.397 0.397 0.397 Se
0.436 0.879 0.879 Se
0.829 0.382 0.382 Se
0.859 0.859 0.859 Se
0.879 0.436 0.879 Se
0.879 0.879 0.436 Se
```

Record 8
# ZnGe2Au2

An optimized crystal structure of ZnGe2Au2 (PBE, Alexandria).

Calculated values
excess energy over the best structure of this formula in the dataset	0.066	eV per atom
ΔE_f	0.170	eV per atom
SG	I4/mmm, No. 139
total moment	0.00	μB per atom
VASP energy	-16.212	eV/f.u.

POSCAR file:
```
ZnGe2Au2
1.0
-1.898 1.898 6.781
1.898 -1.898 6.781
1.898 1.898 -6.781
Zn Ge Au
1 2 2
Direct
0.000 0.000 0.000 Zn
0.250 0.750 0.500 Ge
0.750 0.250 0.500 Ge
0.402 0.402 0.000 Au
0.598 0.598 0.000 Au
```

Record 9
# ZrTa3

An optimized crystal structure of ZrTa3 (PBE, Alexandria).

Calculated values
excess energy over the best structure of this formula in the dataset	0.028	eV per atom
ΔE_f	0.111	eV per atom
SG	R-3m, No. 166
total moment	0.00	μB per atom
VASP energy	-43.663	eV/f.u.

POSCAR file:
```
ZrTa3
1.0
4.798 2.770 0.964
-4.798 2.770 0.964
0.000 -5.540 0.964
Zr Ta
1 3
Direct
0.000 0.000 0.000 Zr
0.000 0.500 0.500 Ta
0.500 0.000 0.500 Ta
0.500 0.500 0.000 Ta
```

Record 10
# Ac2TeI4

An optimized crystal structure of Ac2TeI4 (PBE, Alexandria).

Calculated values
SG	R-3m, No. 166
total moment	0.00	μB per atom
formation energy without anion corrections	-132	kJ/mol of atoms
VASP energy	-27.113	eV/f.u.

POSCAR file:
```
Ac2TeI4
1.0
2.936 1.695 10.995
-2.936 1.695 10.995
0.000 -3.390 10.995
Ac Te I
2 1 4
Direct
0.093 0.093 0.093 Ac
0.907 0.907 0.907 Ac
0.000 0.000 0.000 Te
0.202 0.202 0.202 I
0.410 0.410 0.410 I
0.590 0.590 0.590 I
0.798 0.798 0.798 I
```

Record 11
# HfWSe

An optimized crystal structure of HfWSe (PBE, Alexandria).

Calculated values
SG	P4/nmm, No. 129
total moment	0.00	μB per atom
formation energy without anion corrections	-62	kJ/mol of atoms
VASP energy	-28.316	eV/f.u.

POSCAR file:
```
HfWSe
1.0
3.431 0.000 0.000
0.000 3.431 0.000
0.000 0.000 10.140
Hf W Se
2 2 2
Direct
0.250 0.250 0.233 Hf
0.750 0.750 0.767 Hf
0.250 0.250 0.931 W
0.750 0.750 0.069 W
0.250 0.250 0.650 Se
0.750 0.750 0.350 Se
```

Record 12
# LiLaTe

An optimized crystal structure of LiLaTe (PBE, Alexandria).

Calculated values
excess energy over the best structure of this formula in the dataset	0.566	eV per atom
SG	F-43m, No. 216
total moment	0.00	μB per atom
formation energy without anion corrections	-46	kJ/mol of atoms
VASP energy	-11.419	eV/f.u.

POSCAR file:
```
LiLaTe
1.0
0.000 3.707 3.707
3.707 0.000 3.707
3.707 3.707 0.000
Li La Te
1 1 1
Direct
0.000 0.000 0.000 Li
0.250 0.250 0.250 La
0.500 0.500 0.500 Te
```

Record 13
# RbCu6As4

An optimized crystal structure of RbCu6As4 (PBE, Alexandria).

Calculated values
ΔE_f	-0.059	eV per atom
SG	I4/mmm, No. 139
total moment	0.00	μB per atom
VASP energy	-44.791	eV/f.u.

POSCAR file:
```
RbCu6As4
1.0
-2.026 2.026 12.777
2.026 -2.026 12.777
2.026 2.026 -12.777
Rb Cu As
1 6 4
Direct
0.000 0.000 0.000 Rb
0.136 0.636 0.500 Cu
0.250 0.750 0.500 Cu
0.364 0.864 0.500 Cu
0.636 0.136 0.500 Cu
0.750 0.250 0.500 Cu
0.864 0.364 0.500 Cu
0.195 0.195 0.000 As
0.415 0.415 0.000 As
0.585 0.585 0.000 As
0.805 0.805 0.000 As
```

Record 14
# Ba2TiSiRu

An optimized crystal structure of Ba2TiSiRu (PBE, Alexandria).

Calculated values
SG	P4/mmm, No. 123
total moment	0.00	μB per atom
formation energy without anion corrections	48	kJ/mol of atoms
VASP energy	-23.927	eV/f.u.

POSCAR file:
```
Ba2TiSiRu
1.0
6.083 0.000 0.000
0.000 6.083 0.000
0.000 0.000 4.518
Ba Ti Si Ru
2 1 1 1
Direct
0.000 0.500 0.000 Ba
0.500 0.000 0.000 Ba
0.000 0.000 0.500 Ti
0.500 0.500 0.500 Si
0.000 0.000 0.000 Ru
```

Record 15
# CaNpTe2

An optimized crystal structure of CaNpTe2 (PBE, Alexandria).

Calculated values
excess energy over the best structure of this formula in the dataset	0.000	eV per atom
SG	R-3m, No. 166
total moment	1.20	μB per atom
formation energy without anion corrections	-101	kJ/mol of atoms
VASP energy	-25.407	eV/f.u.

POSCAR file:
```
CaNpTe2
1.0
2.214 1.278 7.386
-2.214 1.278 7.386
0.000 -2.557 7.386
Ca Np Te
1 1 2
Direct
0.000 0.000 0.000 Ca
0.500 0.500 0.500 Np
0.250 0.250 0.250 Te
0.750 0.750 0.750 Te
```